(1)
A plane-wave DFT calculation with PBE-GGA was carried out for a geometry-optimized LiAc2Ni2Sn7 structure.

Unit cell a=5.0778 b=5.0778 c=12.4940 alpha=92.65 beta=92.65 gamma=89.00
Closest atoms and distances in Å follow each position.
Sites, in units of the cell vectors:
Li (0.0000, 0.0000, 0.0000)  4 Sn 3.01
Ac (0.1361, 0.1361, 0.3590)  1 Ni 3.21, 5 Sn 3.34-3.59
Ac (0.8639, 0.8639, 0.6410)  1 Ni 3.21, 5 Sn 3.34-3.59
Ni (0.4822, 0.4822, 0.2105)  6 Sn 2.55-2.78
Ni (0.5178, 0.5178, 0.7895)  6 Sn 2.55-2.78
Sn (0.0019, 0.4208, 0.8386)  2 Ni 2.55-2.78
Sn (0.3610, 0.3610, 0.6011)  1 Ni 2.55
Sn (0.4208, 0.0019, 0.8386)  2 Ni 2.55-2.78
Sn (0.5000, 0.5000, 0.0000)  2 Ni 2.64
Sn (0.5792, 0.9981, 0.1614)  2 Ni 2.55-2.78
Sn (0.6390, 0.6390, 0.3989)  1 Ni 2.55
Sn (0.9981, 0.5792, 0.1614)  2 Ni 2.55-2.78

Calculated values
- Energy relative to the elements: -3.525 eV/f.u.
- Space group: C2/m, No. 12

(2)
A plane-wave DFT calculation with PBE-GGA was carried out for a geometry-optimized LiAc2Zn6Ni structure.

Unit cell a=6.4364 b=6.6134 c=6.6685 alpha=62.98 beta=61.26 gamma=60.98
Closest atoms and distances in Å follow each position.
Sites, in units of the cell vectors:
Li (0.0000, 0.0000, 0.0000)  6 Zn 2.40-2.43
Ac (0.2439, 0.1797, 0.3319)  12 Zn 3.33-3.52
Ac (0.7561, 0.8203, 0.6681)  12 Zn 3.33-3.52
Zn (0.2115, 0.2938, 0.8048)  1 Ni 2.40, 1 Li 2.43
Zn (0.2500, 0.6662, 0.8343)  1 Li 2.40, 1 Ni 2.41
Zn (0.3104, 0.7050, 0.1952)  1 Ni 2.40, 1 Li 2.43
Zn (0.6896, 0.2950, 0.8048)  1 Ni 2.40, 1 Li 2.43
Zn (0.7500, 0.3338, 0.1657)  1 Li 2.40, 1 Ni 2.41
Zn (0.7885, 0.7062, 0.1952)  1 Ni 2.40, 1 Li 2.43
Ni (0.5000, 0.5000, 0.5000)  6 Zn 2.40-2.41

Calculated values
- Energy relative to the elements: -2.086 eV/f.u.
- Space group: P-1, No. 2

(3)
A plane-wave DFT calculation with PBE-GGA was carried out for a geometry-optimized Li3Ac2ZnNi12 structure.

Unit cell a=9.6156 b=9.6156 c=9.6156 alpha=36.49 beta=36.49 gamma=36.49
Closest atoms and distances in Å follow each position.
Sites, in units of the cell vectors:
Li (0.0000, 0.5000, 0.5000)  4 Ni 2.27
Li (0.5000, 0.0000, 0.5000)  4 Ni 2.27
Li (0.5000, 0.5000, 0.0000)  4 Ni 2.27
Ac (0.1376, 0.1376, 0.1376)  12 Ni 2.89-3.21
Ac (0.8624, 0.8624, 0.8624)  12 Ni 2.89-3.21
Zn (0.5000, 0.5000, 0.5000)  6 Ni 2.74
Ni (0.0443, 0.6245, 0.6245)  4 Ni 2.41-2.53, 1 Li 2.64
Ni (0.0864, 0.0864, 0.7002)  2 Li 2.27, 4 Ni 2.33-2.41
Ni (0.0864, 0.7002, 0.0864)  2 Li 2.27, 4 Ni 2.33-2.41
Ni (0.2998, 0.9136, 0.9136)  2 Li 2.27, 4 Ni 2.33-2.41
Ni (0.3755, 0.3755, 0.9557)  4 Ni 2.41-2.53, 1 Li 2.64
Ni (0.3755, 0.9557, 0.3755)  4 Ni 2.41-2.53, 1 Li 2.64
Ni (0.6245, 0.0443, 0.6245)  4 Ni 2.41-2.53, 1 Li 2.64
Ni (0.6245, 0.6245, 0.0443)  4 Ni 2.41-2.53, 1 Li 2.64
Ni (0.7002, 0.0864, 0.0864)  2 Li 2.27, 4 Ni 2.33-2.41
Ni (0.9136, 0.2998, 0.9136)  2 Li 2.27, 4 Ni 2.33-2.41
Ni (0.9136, 0.9136, 0.2998)  2 Li 2.27, 4 Ni 2.33-2.41
Ni (0.9557, 0.3755, 0.3755)  4 Ni 2.41-2.53, 1 Li 2.64

Calculated values
- Energy relative to the elements: 3.497 eV/f.u.
- Space group: R-3m, No. 166

(4)
A plane-wave DFT calculation with PBE-GGA was carried out for a geometry-optimized LiAcZnNi2 structure.

Unit cell a=6.2474 b=6.2474 c=6.2474 alpha=142.22 beta=142.22 gamma=54.49
Closest atoms and distances in Å follow each position.
Sites, in units of the cell vectors:
Li (0.0000, 0.0000, 0.0000)  4 Ni 2.56, 4 Zn 2.86
Ac (0.2500, 0.7500, 0.5000)  8 Ni 3.11, 4 Li 3.44, 4 Zn 3.44
Zn (0.5000, 0.5000, 0.0000)  4 Ni 2.56, 4 Li 2.86
Ni (0.6410, 0.1410, 0.5000)  1 Ni 2.42, 2 Li 2.56, 2 Zn 2.56
Ni (0.8590, 0.3590, 0.5000)  1 Ni 2.42, 2 Li 2.56, 2 Zn 2.56

Calculated values
- Energy relative to the elements: -1.178 eV/f.u.
- Space group: I-4m2, No. 119

(5)
A plane-wave DFT calculation with PBE-GGA was carried out for a geometry-optimized Li4AcNp3O12 structure.

Unit cell a=6.9955 b=6.9955 c=6.9955 alpha=106.24 beta=106.24 gamma=106.24
Closest atoms and distances in Å follow each position.
Sites, in units of the cell vectors:
Li (0.0000, 0.0000, 0.0000)  3 O 1.86
Li (0.0000, 0.4352, 0.5648)  3 O 1.89-1.90
Li (0.4352, 0.5648, 0.0000)  3 O 1.89-1.90
Li (0.5648, 0.0000, 0.4352)  3 O 1.89-1.90
Ac (0.5000, 0.5000, 0.5000)  6 O 2.63
Np (0.0577, 0.9423, 0.5000)  6 O 2.04-2.15
Np (0.5000, 0.0577, 0.9423)  6 O 2.04-2.15
Np (0.9423, 0.5000, 0.0577)  6 O 2.04-2.15
O (0.0000, 0.6048, 0.3952)  1 Li 1.90
O (0.0000, 0.8341, 0.1659)  1 Li 1.86
O (0.1566, 0.2570, 0.5305)  1 Li 1.89, 1 Np 2.04
O (0.1659, 0.0000, 0.8341)  1 Li 1.86
O (0.2570, 0.5305, 0.1566)  1 Li 1.89, 1 Np 2.04
O (0.3952, 0.0000, 0.6048)  1 Li 1.90
O (0.4695, 0.7430, 0.8434)  1 Li 1.89, 1 Np 2.04
O (0.5305, 0.1566, 0.2570)  1 Li 1.89, 1 Np 2.04
O (0.6048, 0.3952, 0.0000)  1 Li 1.90
O (0.7430, 0.8434, 0.4695)  1 Li 1.89, 1 Np 2.04
O (0.8341, 0.1659, 0.0000)  1 Li 1.86
O (0.8434, 0.4695, 0.7430)  1 Li 1.89, 1 Np 2.04

Calculated values
- Space group: R32, No. 155

(6)
A plane-wave DFT calculation with PBE-GGA was carried out for a geometry-optimized Li2Ac3NpO9 structure.

Unit cell a=5.7661 b=5.7661 c=7.2883 alpha=90.00 beta=90.00 gamma=120.00
Closest atoms and distances in Å follow each position.
Sites, in units of the cell vectors:
Li (0.3333, 0.6667, 0.1707)  6 O 2.08-2.09
Li (0.6667, 0.3333, 0.8293)  6 O 2.08-2.09
Ac (0.0000, 0.0000, 0.0000)  12 O 2.86-2.88
Ac (0.3333, 0.6667, 0.7570)  3 O 2.43
Ac (0.6667, 0.3333, 0.2430)  3 O 2.43
Np (0.0000, 0.0000, 0.5000)  6 O 2.02
O (0.0000, 0.5000, 0.0000)  2 Li 2.08
O (0.1579, 0.3158, 0.3272)  1 Np 2.02, 1 Li 2.09
O (0.1579, 0.8421, 0.3272)  1 Np 2.02, 1 Li 2.09
O (0.3158, 0.1579, 0.6728)  1 Np 2.02, 1 Li 2.09
O (0.5000, 0.0000, 0.0000)  2 Li 2.08
O (0.5000, 0.5000, 0.0000)  2 Li 2.08
O (0.6842, 0.8421, 0.3272)  1 Np 2.02, 1 Li 2.09
O (0.8421, 0.1579, 0.6728)  1 Np 2.02, 1 Li 2.09
O (0.8421, 0.6842, 0.6728)  1 Np 2.02, 1 Li 2.09

Calculated values
- Space group: P-3m1, No. 164

Number 1: magnetization 0.000 μB per cell, uncorrected energy -53.24 eV per formula unit. Number 2: magnetization 0.000 μB per cell, uncorrected energy -25.64 eV per formula unit. Number 3: magnetization 1.442 μB per cell, uncorrected energy -81.11 eV per formula unit. Number 4: magnetization 0.000 μB per cell, uncorrected energy -20.04 eV per formula unit. Number 5: magnetization 4.000 μB per cell, uncorrected energy -163.16 eV per formula unit. Number 6: magnetization 0.058 μB per cell, uncorrected energy -115.97 eV per formula unit.